[1]
This record from OQMD describes a relaxed Zr2Ga3W4N3 crystal. The functional is GGA-PBE.

Results
Total moment (Bohr magnetons per cell): 0.0
E_tot (eV/atom): -8.95

Lattice parameters (Å, degrees): 9.3473 5.4156 13.6094 90.00 103.84 90.00
With the nearest neighbours (Å) after each atom.
Space group C2/c (No. 15)
Inequivalent atoms, fractional coordinates:
Zr1 0.0462 0.0851 0.3836  3 N 2.27-2.34
Ga1 0.0000 0.4333 0.7500  4 W 2.69-2.77, 4 Ga 2.70-2.72
Ga2 0.2378 0.1530 0.7482  4 Ga 2.70-2.72, 4 W 2.71-2.79
W1 0.1129 0.4322 0.5793  3 N 2.11-2.15
W2 0.2144 0.4094 0.9214  3 N 2.12-2.14
N1 0.0733 0.2218 0.9999  4 W 2.14-2.15, 2 Zr 2.27
N2 0.2500 0.2500 0.5000  4 W 2.11-2.12, 2 Zr 2.34

---

[2]
This record from OQMD describes a relaxed Y4ZnGaN2 crystal. The functional is GGA-PBE.

Results
Total moment (Bohr magnetons per cell): 0.0
E_tot (eV/atom): -6.80

Lattice parameters (Å, degrees): 3.5098 3.5098 14.8682 90.00 90.00 120.00
With the nearest neighbours (Å) after each atom.
Space group P-6m2 (No. 187)
Inequivalent atoms, fractional coordinates:
Y1 0.0000 0.0000 0.1563  3 N 2.46
Y2 0.3333 0.6667 0.3397  3 N 2.42
Zn1 0.3333 0.6667 0.0000  6 Y 3.08
Ga1 0.0000 0.0000 0.5000  6 Y 3.13
N1 0.6667 0.3333 0.2504  6 Y 2.42-2.46